Entry 1:
Density functional theory data (PBE) for a relaxed K2BaU3Se8 crystal.

```
data_K2BaU3Se8
_space_group_name_H-M_alt 'R 3 m'
_space_group_IT_number 160
_space_group_name_Hall 'R 3 -2"'
_cell_length_a 8.6489
_cell_length_b 8.6489
_cell_length_c 23.4406
_cell_angle_alpha 90.00
_cell_angle_beta 90.00
_cell_angle_gamma 120.00
loop_
_atom_site_label
_atom_site_type_symbol
_atom_site_fract_x
_atom_site_fract_y
_atom_site_fract_z
_atom_site_occupancy
K1 K 0.0000 0.0000 0.0000 1
K2 K 0.0000 0.0000 0.3678 1
Ba1 Ba 0.0000 0.0000 0.6246 1
U1 U 0.1684 0.3369 0.8310 1
Se1 Se 0.0000 0.0000 0.2295 1
Se2 Se 0.0000 0.0000 0.7656 1
Se3 Se 0.0304 0.5152 0.7683 1
Se4 Se 0.1843 0.3685 0.5633 1
```

## Properties
ΔE_f (raw), meV per atom: -1284
Total magnetization, μB/f.u.: 6.00
Density of states at the Fermi level, states/eV per cell: 37.3
Electronic total energy, eV/f.u.: -83.83

=====

Entry 2:
Density functional theory data (PBE) for a relaxed KBaVSe4 crystal.

```
data_KBaVSe4
_space_group_name_H-M_alt 'P 1 21/m 1'
_space_group_IT_number 11
_cell_length_a 7.182
_cell_length_b 7.060
_cell_length_c 9.477
_cell_angle_alpha 90.00
_cell_angle_beta 107.18
_cell_angle_gamma 90.00
loop_
_space_group_symop_operation_xyz
'x,y,z'
'-x,-y,-z'
'-x,y+1/2,-z'
'x,-y+1/2,z'
loop_
_atom_site_label
_atom_site_type_symbol
_atom_site_fract_x
_atom_site_fract_y
_atom_site_fract_z
_atom_site_occupancy
K1 K 0.212 0.250 0.428 1
Ba1 Ba 0.272 0.250 0.959 1
V1 V 0.307 0.750 0.207 1
Se1 Se 0.098 0.750 0.348 1
Se2 Se 0.147 0.750 0.956 1
Se3 Se 0.490 0.507 0.739 1
```

## Properties
ΔE_f (raw), meV per atom: -1245
Total magnetization, μB/f.u.: 0.00
Electronic total energy, eV/f.u.: -34.79

=====

Entry 3:
Density functional theory data (PBE) for a relaxed K2BaZr3Se8 crystal.

```
data_K2BaZr3Se8
_space_group_name_H-M_alt 'R 3 m'
_space_group_IT_number 160
_space_group_name_Hall 'R 3 -2"'
_cell_length_a 8.1245
_cell_length_b 8.1245
_cell_length_c 23.9391
_cell_angle_alpha 90.00
_cell_angle_beta 90.00
_cell_angle_gamma 120.00
loop_
_atom_site_label
_atom_site_type_symbol
_atom_site_fract_x
_atom_site_fract_y
_atom_site_fract_z
_atom_site_occupancy
K1 K 0.0000 0.0000 0.0000 1
K2 K 0.0000 0.0000 0.3605 1
Ba1 Ba 0.0000 0.0000 0.7303 1
Zr1 Zr 0.0061 0.5031 0.8637 1
Se1 Se 0.0000 0.0000 0.1321 1
Se2 Se 0.0000 0.0000 0.5930 1
Se3 Se 0.0306 0.5153 0.1335 1
Se4 Se 0.1772 0.3543 0.9231 1
```

## Properties
ΔE_f (raw), meV per atom: -1336
Total magnetization, μB/f.u.: 0.00
Electronic total energy, eV/f.u.: -76.34